Record 1
The following is a DFT calculation (PBE) of a relaxed structure of Ca2EuTc.

a = 5.400 Å, b = 5.400 Å, c = 5.390 Å
α = 59.93°, β = 59.93°, γ = 60.00°
Each line ends with the local moment (μB).
Positions (direct):
Ca (0.750, 0.750, 0.749)  0.06
Tc (0.000, 0.000, 0.000)  -1.50
Ca (0.250, 0.250, 0.251)  0.06
Eu (0.500, 0.500, 0.500)  7.00

electronic total energy = -22.4 eV per cell


Record 2
The following is a DFT calculation (PBE) of a relaxed structure of ZrPaTi2C4.

a = 3.286 Å, b = 5.691 Å, c = 5.739 Å
α = 70.53°, β = 90.00°, γ = 90.00°
Positions (direct):
Zr (0.000, 0.500, 0.500)
C (0.500, 0.232, 0.754)
C (0.500, 0.768, 0.246)
Pa (0.500, 0.500, 0.000)
C (0.000, 0.774, 0.737)
C (0.000, 0.226, 0.263)
Ti (0.000, 0.000, 0.000)
Ti (0.500, 0.000, 0.500)

electronic total energy = -75.4 eV per cell


Record 3
The following is a DFT calculation (PBE) of a relaxed structure of Bi6Pt5.

a = 6.925 Å, b = 6.757 Å, c = 7.369 Å
α = 81.84°, β = 73.92°, γ = 59.18°
Positions (direct):
Pt (0.869, 0.262, 0.500)
Pt (0.684, 0.632, 0.000)
Bi (0.904, 0.628, 0.282)
Pt (0.316, 0.368, 0.000)
Bi (0.711, 0.000, 0.774)
Pt (0.131, 0.738, 0.500)
Bi (0.532, 0.372, 0.282)
Bi (0.289, 0.000, 0.226)
Pt (0.500, 0.000, 0.500)
Bi (0.096, 0.372, 0.718)
Bi (0.468, 0.628, 0.718)

electronic total energy = -55.3 eV per cell


Record 4
The following is a DFT calculation (PBE) of a relaxed structure of ReAs2W.

a = 4.392 Å, b = 4.392 Å, c = 3.113 Å
α = 90.00°, β = 90.00°, γ = 90.00°
Positions (direct):
As (0.500, 0.500, 0.000)
Re (0.500, 0.000, 0.500)
As (0.000, 0.000, 0.000)
W (0.000, 0.500, 0.500)

energy above the most stable polymorph in this dataset = 163 meV/atom


Record 5
The following is a DFT calculation (PBE) of a relaxed structure of Pm2NdTe4.

a = 4.469 Å, b = 7.779 Å, c = 8.774 Å
α = 116.93°, β = 104.75°, γ = 90.00°
Positions (direct):
Te (0.877, 0.205, 0.754)
Te (0.369, 0.712, 0.738)
Pm (0.258, 0.247, 0.516)
Te (0.631, 0.288, 0.262)
Nd (0.000, 0.000, 0.000)
Pm (0.742, 0.753, 0.484)
Te (0.123, 0.795, 0.246)

energy above the most stable polymorph in this dataset = 0 meV/atom
formation energy (no corrections) = -1.42 eV per atom


Record 6
The following is a DFT calculation (PBE) of a relaxed structure of AcNpRu2.

a = 4.413 Å, b = 4.413 Å, c = 6.277 Å
α = 69.42°, β = 69.42°, γ = 60.00°
Each line ends with the local moment (μB).
Positions (direct):
Np (0.000, 0.000, 0.000)  2.79
Ru (0.297, 0.297, 0.109)  -0.39
Ru (0.703, 0.703, 0.891)  -0.39
Ac (0.500, 0.500, 0.500)  0.03

energy above the most stable polymorph in this dataset = 0 meV/atom


Record 7
The following is a DFT calculation (PBE) of a relaxed structure of NdYGe2.

a = 4.392 Å, b = 4.032 Å, c = 5.892 Å
α = 90.00°, β = 111.89°, γ = 90.00°
Positions (direct):
Ge (0.165, 0.500, 0.869)
Nd (0.721, 0.000, 0.982)
Ge (0.999, 0.000, 0.537)
Y (0.446, 0.500, 0.430)

energy above the most stable polymorph in this dataset = 0 meV/atom


Record 8
The following is a DFT calculation (PBE) of a relaxed structure of Zr3ReSb.

a = 5.174 Å, b = 5.174 Å, c = 5.174 Å
α = 90.00°, β = 90.00°, γ = 90.00°
Each line ends with the local moment (μB).
Positions (direct):
Sb (0.000, 0.000, 0.000)  0.01
Zr (0.000, 0.500, 0.000)  -0.08
Zr (0.000, 0.000, 0.500)  -0.14
Re (0.500, 0.500, 0.500)  2.28
Zr (0.500, 0.000, 0.000)  -0.16

energy above the most stable polymorph in this dataset = 1058 meV/atom
formation energy (no corrections) = 1.39 eV per atom


Record 9
The following is a DFT calculation (PBE) of a relaxed structure of Ba2NpScS5.

a = 4.251 Å, b = 8.841 Å, c = 13.311 Å
α = 90.00°, β = 90.00°, γ = 103.91°
Each line ends with the local moment (μB).
Positions (direct):
Sc (0.526, 0.051, 0.955)  0.07
S (0.323, 0.645, 0.386)  -0.06
S (0.626, 0.252, 0.499)  -0.03
Ba (0.895, 0.789, 0.187)  0.01
Ba (0.859, 0.718, 0.806)  0.01
Np (0.790, 0.580, 0.515)  3.83
Np (0.210, 0.420, 0.015)  3.83
S (0.283, 0.567, 0.649)  -0.06
S (0.677, 0.355, 0.886)  -0.06
S (0.509, 0.018, 0.279)  0.00
S (0.051, 0.102, 0.048)  -0.03
Ba (0.105, 0.211, 0.687)  0.01
Sc (0.474, 0.949, 0.455)  0.07
Ba (0.141, 0.282, 0.306)  0.01
S (0.374, 0.748, 0.999)  -0.03
S (0.717, 0.433, 0.149)  -0.06
S (0.949, 0.898, 0.548)  -0.03
S (0.491, 0.982, 0.779)  0.00

formation energy (no corrections) = -1.83 eV per atom


Record 10
The following is a DFT calculation (PBE) of a relaxed structure of ZnMoPt2.

a = 3.887 Å, b = 3.887 Å, c = 9.237 Å
α = 77.86°, β = 77.86°, γ = 90.00°
Positions (direct):
Zn (0.250, 0.750, 0.500)
Pt (0.875, 0.873, 0.750)
Zn (0.500, 0.500, 0.000)
Pt (0.127, 0.625, 0.250)
Pt (0.623, 0.125, 0.250)
Pt (0.375, 0.377, 0.750)
Mo (0.750, 0.250, 0.500)
Mo (0.000, 0.000, 0.000)

electronic total energy = -47.1 eV per cell


Record 11
The following is a DFT calculation (PBE) of a relaxed structure of SrPtW2.

a = 2.993 Å, b = 4.792 Å, c = 5.355 Å
α = 90.00°, β = 90.00°, γ = 90.00°
Positions (direct):
W (0.000, 0.000, 0.000)
W (0.500, 0.500, 0.000)
Sr (0.000, 0.500, 0.500)
Pt (0.500, 0.000, 0.500)

energy above the most stable polymorph in this dataset = 405 meV/atom


Record 12
The following is a DFT calculation (PBE) of a relaxed structure of CsSc2Ag.

a = 6.245 Å, b = 6.245 Å, c = 10.073 Å
α = 71.94°, β = 71.94°, γ = 90.00°
Each line ends with the local moment (μB).
Positions (direct):
Sc (0.375, 0.625, 0.750)  0.28
Sc (0.875, 0.625, 0.750)  0.31
Sc (0.375, 0.625, 0.250)  0.31
Cs (0.000, 0.000, 0.000)  0.01
Sc (0.375, 0.125, 0.250)  0.31
Ag (0.500, 0.500, 0.000)  0.01
Ag (0.250, 0.750, 0.500)  0.01
Cs (0.750, 0.250, 0.500)  0.01

electronic total energy = -26.5 eV per cell


Record 13
The following is a DFT calculation (PBE) of a relaxed structure of Pr2Bi5Rh3.

a = 4.700 Å, b = 7.711 Å, c = 13.958 Å
α = 90.00°, β = 99.69°, γ = 90.00°
Positions (direct):
Bi (0.404, 0.388, 0.808)
Pr (0.830, 0.236, 0.661)
Bi (0.878, 0.755, 0.757)
Pr (0.170, 0.736, 0.339)
Rh (0.051, 0.973, 0.102)
Bi (0.954, 0.093, 0.909)
Pr (0.475, 0.761, 0.950)
Bi (0.122, 0.255, 0.243)
Rh (0.603, 0.515, 0.206)
Rh (0.228, 0.206, 0.457)
Bi (0.702, 0.431, 0.404)
Bi (0.298, 0.931, 0.596)
Rh (0.772, 0.706, 0.543)
Bi (0.286, 0.507, 0.571)
Bi (0.596, 0.888, 0.192)
Bi (0.046, 0.593, 0.091)
Rh (0.397, 0.015, 0.794)
Rh (0.949, 0.473, 0.898)
Pr (0.525, 0.261, 0.050)
Bi (0.714, 0.007, 0.429)

electronic total energy = -112.1 eV per cell


Record 14
The following is a DFT calculation (PBE) of a relaxed structure of Y2MgCd.

a = 5.348 Å, b = 5.348 Å, c = 5.348 Å
α = 60.00°, β = 60.00°, γ = 60.00°
Positions (direct):
Y (0.000, 0.000, 0.000)
Y (0.250, 0.250, 0.250)
Mg (0.750, 0.750, 0.750)
Cd (0.500, 0.500, 0.500)

electronic total energy = -15.3 eV per cell


Record 15
The following is a DFT calculation (PBE) of a relaxed structure of ReRu2I.

a = 4.558 Å, b = 4.558 Å, c = 4.558 Å
α = 60.00°, β = 60.00°, γ = 60.00°
Each line ends with the local moment (μB).
Positions (direct):
Ru (0.250, 0.250, 0.250)  0.92
I (0.000, 0.000, 0.000)  0.09
Re (0.500, 0.500, 0.500)  0.71
Ru (0.750, 0.750, 0.750)  0.92

energy above the most stable polymorph in this dataset = 186 meV/atom
formation energy (no corrections) = 1.24 eV per atom


Record 16
The following is a DFT calculation (PBE) of a relaxed structure of AgH2Pt.

a = 3.437 Å, b = 5.563 Å, c = 4.757 Å
α = 84.51°, β = 89.63°, γ = 72.01°
Positions (direct):
Ag (0.492, 0.243, 0.716)
Pt (0.986, 0.254, 0.204)
H (0.464, 0.297, 0.246)
Ag (0.202, 0.821, 0.650)
Pt (0.708, 0.810, 0.162)
H (0.230, 0.767, 0.120)
H (0.850, 0.523, 0.398)
H (0.845, 0.541, 0.968)

energy above the most stable polymorph in this dataset = 0 meV/atom


Record 17
The following is a DFT calculation (PBE) of a relaxed structure of Mg2CdNi.

a = 7.523 Å, b = 7.523 Å, c = 5.994 Å
α = 51.13°, β = 51.13°, γ = 90.00°
Positions (direct):
Ni (0.500, 0.500, 0.000)
Mg (0.572, 0.125, 0.250)
Ni (0.250, 0.750, 0.500)
Mg (0.875, 0.822, 0.750)
Mg (0.375, 0.428, 0.750)
Cd (0.750, 0.250, 0.500)
Mg (0.178, 0.625, 0.250)
Cd (0.000, 0.000, 0.000)

electronic total energy = -18.6 eV per cell


Record 18
The following is a DFT calculation (PBE) of a relaxed structure of TbSmMgPb.

a = 5.412 Å, b = 5.412 Å, c = 5.412 Å
α = 60.00°, β = 60.00°, γ = 60.00°
Positions (direct):
Pb (0.500, 0.500, 0.500)
Mg (0.000, 0.000, 0.000)
Sm (0.750, 0.750, 0.750)
Tb (0.250, 0.250, 0.250)

electronic total energy = -15.9 eV per cell


Record 19
The following is a DFT calculation (PBE) of a relaxed structure of OsPb4Se.

a = 6.246 Å, b = 6.246 Å, c = 6.246 Å
α = 60.00°, β = 60.00°, γ = 60.00°
Each line ends with the local moment (μB).
Positions (direct):
Pb (0.374, 0.374, 0.374)  -0.03
Os (0.000, 0.000, 0.000)  2.06
Pb (0.877, 0.374, 0.374)  -0.03
Pb (0.374, 0.374, 0.877)  -0.03
Se (0.750, 0.750, 0.750)  0.04
Pb (0.374, 0.877, 0.374)  -0.03

formation energy (no corrections) = 1.09 eV per atom


Record 20
The following is a DFT calculation (PBE) of a relaxed structure of SmYSc.

a = 3.513 Å, b = 3.513 Å, c = 7.724 Å
α = 103.14°, β = 103.14°, γ = 90.00°
Positions (direct):
Y (0.006, 0.006, 0.012)
Sm (0.327, 0.327, 0.655)
Sc (0.667, 0.667, 0.333)

energy above the most stable polymorph in this dataset = 5 meV/atom


| no. | volume (Å³/f.u.) |
| --- | --- |
| 1 | 111.0 |
| 2 | 101.2 |
| 3 | 284.5 |
| 4 | 60.0 |
| 5 | 260.6 |
| 6 | 96.8 |
| 7 | 96.8 |
| 8 | 138.5 |
| 9 | 242.8 |
| 10 | 66.6 |
| 11 | 76.8 |
| 12 | 176.6 |
| 13 | 249.3 |
| 14 | 108.1 |
| 15 | 67.0 |
| 16 | 43.0 |
| 17 | 78.2 |
| 18 | 112.1 |
| 19 | 172.3 |
| 20 | 90.2 |